The following is a PBEsol calculation of a geometry-optimized InHg2Pb structure, from Alexandria.

- DFT formation energy (eV per atom) = 0.036
- total DFT energy (no corrections) (eV/f.u.) = -7.97
- theoretical density (Mg/m³) = 11.9

Cell: 5.2263 5.2263 5.2263 Å, 60.00 60.00 60.00°
Last column: nearest neighbours and their distance in Å.
Fractional positions:
In 0.0000 0.0000 0.0000  4 Hg 3.20, 4 Pb 3.20
Hg 0.5000 0.5000 0.5000  4 Hg 3.20, 4 Pb 3.20
Hg 0.7500 0.7500 0.7500  4 Hg 3.20, 4 In 3.20
Pb 0.2500 0.2500 0.2500  4 Hg 3.20, 4 In 3.20